#i
Computed, not measured: an optimized crystal structure of NaRh3Au at the PBE level of DFT.

Summary:
Mass density in g/cm³: 7.21
Space group: Pm-3m (221)

Lattice parameters (Å, degrees): 4.956 4.956 4.956 90.00 90.00 90.00
Atoms (fractional coordinates):
Na (0.500, 0.500, 0.500)
Au (0.000, 0.000, 0.000)
Rh (0.000, 0.000, 0.500)
Rh (0.500, 0.000, 0.000)
Rh (0.000, 0.500, 0.000)

***

#ii
Computed, not measured: an optimized crystal structure of NaRh3Au at the PBE level of DFT.

Summary:
Mass density in g/cm³: 9.56
Space group: Pm-3m (221)

Lattice parameters (Å, degrees): 4.511 4.511 4.511 90.00 90.00 90.00
Atoms (fractional coordinates):
Au (0.500, 0.500, 0.500)
Rh (0.000, 0.000, 0.500)
Rh (0.500, 0.000, 0.000)
Rh (0.000, 0.500, 0.000)
Na (0.000, 0.000, 0.000)

***

Which structure is the most stable? The one labeled #i.

***

#i
Computed, not measured: an optimized crystal structure of NaRh2Au at the PBE level of DFT.

Summary:
Mass density in g/cm³: 9.99
Space group: I-42d (122)

Lattice parameters (Å, degrees): 3.784 3.784 10.241 79.35 79.35 90.00
Atoms (fractional coordinates):
Na (0.500, 0.500, 0.000)
Na (0.250, 0.750, 0.500)
Rh (0.875, 0.880, 0.750)
Rh (0.375, 0.370, 0.750)
Rh (0.120, 0.625, 0.250)
Rh (0.630, 0.125, 0.250)
Au (0.750, 0.250, 0.500)
Au (0.000, 0.000, 0.000)

***

#ii
Computed, not measured: an optimized crystal structure of NaRh2Au at the PBE level of DFT.

Summary:
Mass density in g/cm³: 10.77
Space group: Fm-3m (225)

Lattice parameters (Å, degrees): 4.528 4.528 4.528 60.00 60.00 60.00
Atoms (fractional coordinates):
Rh (0.250, 0.250, 0.250)
Rh (0.750, 0.750, 0.750)
Na (0.000, 0.000, 0.000)
Au (0.500, 0.500, 0.500)

***

Which structure is the most stable? The one labeled #ii.